# PBE Nd6GaTe5, optimized geometry
data_Nd6GaTe5
_cell_length_a 7.7893
_cell_length_b 13.4183
_cell_length_c 7.7656
_cell_angle_alpha 90.00
_cell_angle_beta 109.44
_cell_angle_gamma 90.00
_symmetry_space_group_name_H-M 'C 1 2/m 1'
_symmetry_Int_Tables_number 12
loop_
_symmetry_equiv_pos_as_xyz
'x,y,z'
'-x,-y,-z'
'-x,y,-z'
'x,-y,z'
'x+1/2,y+1/2,z'
'-x+1/2,-y+1/2,-z'
'-x+1/2,y+1/2,-z'
'x+1/2,-y+1/2,z'
loop_
_atom_site_label
_atom_site_fract_x
_atom_site_fract_y
_atom_site_fract_z
Nd1 0.2318 0.0000 0.2595
Nd2 0.2351 0.1571 0.7364
Ga1 0.0000 0.0000 0.5000
Te1 0.0000 0.1735 0.0000
Te2 0.0000 0.3349 0.5000
Te3 0.0000 0.5000 0.0000
# Density of states at the Fermi level: 5.9 states/eV/f.u.
# Raw total energy: -5.279 eV/atom
# Uncorrected formation energy: -1544 kJ/mol of formula units
# Crystal system: monoclinic